# 1
Material: HgBr
Method: DFT, GGA-PBE
State: relaxed

Cell: 8.210 8.210 8.210 Å, 150.39 150.39 42.37°
Atoms (fractional coordinates):
Hg: 0.500 0.500 0.000
Hg: 0.750 0.250 0.500
Br: 0.000 0.000 0.000
Br: 0.250 0.750 0.500

Energy above the most stable polymorph in this dataset, meV/atom: 258
Uncorrected formation energy, kJ/mol of atoms: -14

# 2
Material: HgBr3
Method: DFT, GGA-PBE
State: relaxed

Cell: 9.763 9.763 9.763 Å, 23.95 23.95 23.95°
Site moments in Bohr magnetons follow the coordinates.
Atoms (fractional coordinates):
Hg: 0.000 0.000 0.000  0.01
Br: 0.276 0.276 0.276  0.05
Br: 0.500 0.500 0.500  0.66
Br: 0.724 0.724 0.724  0.05

Uncorrected formation energy, kJ/mol of atoms: -4

Number 1: magnetic moment 0.00 μB per formula unit, DFT total energy -4.5 eV/cell. Number 2: magnetic moment 1.04 μB per formula unit, DFT total energy -5.5 eV/cell.